Density functional theory data (PBE) for Y2CoRh after structural relaxation.

## Properties
- Space group: No. 99
- Formation enthalpy at 0 K: -2.1 kcal/mol of atoms

```
Y2CoRh
1.0
-2.8133 0.3630 1.8162
-0.7506 -3.2430 -0.5144
3.8617 -1.9030 6.3622
Rh Co Y
1 1 2
Direct
0.5000 0.5000 0.6947
0.0000 0.0000 0.5549
0.0000 0.0000 0.9276
0.5000 0.5000 0.3228
```